Computed, not measured: a geometry-optimized YZn12Cu6 structure at the PBE level of DFT.

Cell lengths 6.950, 6.950, 6.950 Å; angles 104.72, 104.72, 104.72 degrees
Element x y z (fractional)
Zn (0.887, 0.500, 0.113)
Zn (0.113, 0.500, 0.887)
Zn (0.606, 0.861, 0.606)
Zn (0.500, 0.113, 0.887)
Zn (0.887, 0.113, 0.500)
Zn (0.139, 0.394, 0.394)
Zn (0.394, 0.139, 0.394)
Zn (0.861, 0.606, 0.606)
Zn (0.113, 0.887, 0.500)
Zn (0.500, 0.887, 0.113)
Zn (0.394, 0.394, 0.139)
Zn (0.606, 0.606, 0.861)
Cu (0.284, 0.284, 0.705)
Cu (0.705, 0.284, 0.284)
Cu (0.716, 0.295, 0.716)
Cu (0.295, 0.716, 0.716)
Cu (0.716, 0.716, 0.295)
Cu (0.284, 0.705, 0.284)
Y (0.000, 0.000, 0.000)

Results
Mass density = 7.06 g/cm³
VASP energy = -2.49 eV/atom
Formation energy = -5 kJ per mole of atoms